No. 1
Mg6Bi3Rh: optimized geometry, PBE-GGA.

The structure in extended XYZ format:
```
20
Lattice="9.419 0.000 0.000 0.000 11.360 0.000 0.000 0.000 4.780" Properties=species:S:1:pos:R:3 pbc="T T T"
Mg 1.077 2.501 0.000
Mg 1.111 10.520 2.390
Mg 1.864 5.864 2.390
Mg 2.846 0.184 0.000
Mg 3.599 4.840 0.000
Mg 3.633 8.181 2.390
Mg 5.787 3.179 2.390
Mg 5.820 6.519 0.000
Mg 6.574 11.175 0.000
Mg 7.555 5.495 2.390
Mg 8.309 0.840 2.390
Mg 8.342 8.858 0.000
Bi 0.000 5.680 0.000
Bi 1.794 8.627 0.000
Bi 2.916 2.947 2.390
Bi 4.710 0.000 2.390
Bi 6.504 8.412 2.390
Bi 7.625 2.732 0.000
Rh 0.000 0.000 0.000
Rh 4.710 5.680 2.390
```

Output
- Crystal system: orthorhombic
- Total energy: -61.0 eV per cell
- Total moment: 0.00 μB/atom
- DFT formation energy: -195 meV/atom

=====

No. 2
ZnMoRu3: optimized geometry, PBE-GGA.

The structure in extended XYZ format:
```
5
Lattice="4.395 0.000 0.000 0.000 4.395 0.000 0.000 0.000 4.395" Properties=species:S:1:pos:R:3 pbc="T T T"
Zn 0.000 0.000 0.000
Mo 2.198 2.198 2.198
Ru 0.000 0.000 2.198
Ru 0.000 2.198 0.000
Ru 2.198 0.000 0.000
```

Output
- Crystal system: cubic
- Distance to the lowest polymorph of the same formula: 0.033 eV/atom
- Total energy: -32.0 eV per cell
- Total moment: 0.00 μB/atom
- DFT formation energy: 1581 meV/atom

=====

No. 3
Ni2AsW: optimized geometry, PBE-GGA.

The structure in extended XYZ format:
```
4
Lattice="0.000 2.981 2.981 2.981 0.000 2.981 2.981 2.981 0.000" Properties=species:S:1:pos:R:3 pbc="T T T"
Ni 0.000 0.000 0.000
Ni 1.491 1.491 1.491
As 2.981 2.981 2.981
W 4.472 4.472 4.472
```

Output
- Crystal system: cubic
- Total energy: -28.6 eV per cell
- Total moment: 0.00 μB/atom
- DFT formation energy: 134 meV/atom

=====

No. 4
SmYCo2: optimized geometry, PBE-GGA.

The structure in extended XYZ format:
```
4
Lattice="4.786 0.000 0.000 0.000 4.786 0.000 0.000 0.000 3.397" Properties=species:S:1:pos:R:3 pbc="T T T"
Sm 0.000 0.000 0.000
Y 2.393 2.393 0.000
Co 0.000 2.393 1.698
Co 2.393 0.000 1.698
```

Output
- Crystal system: tetragonal
- Distance to the lowest polymorph of the same formula: 0.086 eV/atom
- Total energy: -25.6 eV per cell
- Total moment: 0.20 μB/atom
- DFT formation energy: -63 meV/atom

=====

No. 5
Mg3PN: optimized geometry, PBE-GGA.

The structure in extended XYZ format:
```
5
Lattice="3.454 1.994 2.935 -3.454 1.994 2.935 0.000 -3.988 2.935" Properties=species:S:1:pos:R:3 pbc="T T T"
Mg -1.430 -0.825 2.935
Mg 1.430 -0.825 2.935
Mg 0.000 1.651 2.935
P 0.000 0.000 5.127
N 0.000 0.000 1.816
```

Output
- Crystal system: trigonal
- Distance to the lowest polymorph of the same formula: 0.740 eV/atom
- Total energy: -18.5 eV per cell
- Total moment: 0.00 μB/atom
- Energy relative to the elements, uncorrected: 2 meV/atom

=====

No. 6
HgSeCl2: optimized geometry, PBE-GGA.

The structure in extended XYZ format:
```
4
Lattice="1.915 1.105 10.111 -1.915 1.105 10.111 0.000 -2.211 10.111" Properties=species:S:1:pos:R:3 pbc="T T T"
Hg 0.000 0.000 0.000
Se 0.000 0.000 15.167
Cl 0.000 0.000 8.552
Cl 0.000 0.000 21.782
```

Output
- Crystal system: trigonal
- Distance to the lowest polymorph of the same formula: 0.375 eV/atom
- Total energy: -7.1 eV per cell
- Total moment: 0.48 μB/atom
- Energy relative to the elements, uncorrected: 94 meV/atom

=====

No. 7
CaReRh2: optimized geometry, PBE-GGA.

The structure in extended XYZ format:
```
4
Lattice="4.405 -1.391 0.000 4.405 1.391 0.000 -0.618 0.000 5.748" Properties=species:S:1:pos:R:3 pbc="T T T"
Ca 0.000 0.000 0.000
Re 4.096 0.000 2.874
Rh 1.726 0.000 3.988
Rh 6.467 0.000 1.759
```

Output
- Crystal system: monoclinic
- Distance to the lowest polymorph of the same formula: 0.258 eV/atom
- Total energy: -28.4 eV per cell
- Total moment: 0.00 μB/atom
- DFT formation energy: 194 meV/atom

=====

No. 8
TaMnRe3: optimized geometry, PBE-GGA.

The structure in extended XYZ format:
```
5
Lattice="4.703 0.000 0.000 0.000 4.703 0.000 0.000 0.000 4.703" Properties=species:S:1:pos:R:3 pbc="T T T"
Ta 0.000 0.000 0.000
Mn 2.352 2.352 2.352
Re 0.000 0.000 2.352
Re 0.000 2.352 0.000
Re 2.352 0.000 0.000
```

Output
- Crystal system: cubic
- Distance to the lowest polymorph of the same formula: 1.510 eV/atom
- Total energy: -44.7 eV per cell
- Total moment: 0.02 μB/atom
- DFT formation energy: 2725 meV/atom

=====

No. 9
NiPb2W: optimized geometry, PBE-GGA.

The structure in extended XYZ format:
```
4
Lattice="3.329 0.000 0.000 0.000 4.484 0.000 0.000 0.000 5.466" Properties=species:S:1:pos:R:3 pbc="T T T"
Ni 0.000 0.000 0.000
Pb 0.000 2.242 2.733
Pb 1.665 2.242 0.000
W 1.665 0.000 2.733
```

Output
- Crystal system: orthorhombic
- Distance to the lowest polymorph of the same formula: 0.601 eV/atom
- Total energy: -22.1 eV per cell
- Total moment: 0.00 μB/atom
- DFT formation energy: 1000 meV/atom

=====

No. 10
Sn4Pb2N: optimized geometry, PBE-GGA.

The structure in extended XYZ format:
```
7
Lattice="-2.481 2.481 8.071 2.481 -2.481 8.071 2.481 2.481 -8.071" Properties=species:S:1:pos:R:3 pbc="T T T"
Sn 2.481 0.000 0.000
Sn 0.000 0.000 2.247
Sn 0.000 2.481 0.000
Sn 0.000 0.000 13.895
Pb 0.000 0.000 5.739
Pb 0.000 0.000 10.403
N 0.000 0.000 0.000
```

Output
- Crystal system: tetragonal
- Total energy: -29.6 eV per cell
- Total moment: 0.00 μB/atom
- Energy relative to the elements, uncorrected: 314 meV/atom

=====

No. 11
SrCaGa2Rh: optimized geometry, PBE-GGA.

The structure in extended XYZ format:
```
5
Lattice="4.952 0.000 0.000 0.000 4.952 0.000 0.000 0.000 5.218" Properties=species:S:1:pos:R:3 pbc="T T T"
Sr 0.000 0.000 0.000
Ca 2.476 2.476 0.000
Ga 0.000 2.476 2.609
Ga 2.476 0.000 2.609
Rh 2.476 2.476 2.609
```

Output
- Crystal system: tetragonal
- Total energy: -19.0 eV per cell
- Total moment: 0.00 μB/atom
- DFT formation energy: -387 meV/atom

=====

No. 12
Sr2Cd2Au: optimized geometry, PBE-GGA.

The structure in extended XYZ format:
```
5
Lattice="-2.045 2.045 9.519 2.045 -2.045 9.519 2.045 2.045 -9.519" Properties=species:S:1:pos:R:3 pbc="T T T"
Sr 0.000 0.000 1.804
Sr 0.000 0.000 17.234
Cd 2.045 0.000 4.760
Cd 0.000 2.045 4.760
Au 0.000 0.000 9.519
```

Output
- Crystal system: tetragonal
- Distance to the lowest polymorph of the same formula: 0.123 eV/atom
- Total energy: -10.2 eV per cell
- Total moment: 0.00 μB/atom
- DFT formation energy: -348 meV/atom

=====

> Number 7 is which compound?

CaReRh2

=====

> Among the records above, which one has the highest total moment?

HgSeCl2